a:
{
  "formula": "Ho3NiTe5",
  "functional": "PBE",
  "state": "relaxed",
  "magmom_total_mub_per_cell": 0.05,
  "crystal_system": "hexagonal",
  "lattice_angstrom": [[8.6008, 0.0000, 0.0000], [-4.3004, 7.4485, 0.0000], [0.0000, 0.0000, 4.1109]],
  "species": ["Ni", "Te", "Te", "Te", "Ho", "Ho", "Te", "Te", "Ho"],
  "fractional_positions": [[0.0000, 0.0000, 0.0000], [0.6667, 0.3333, 0.5000], [0.0000, 0.7125, 0.0000], [0.3333, 0.6667, 0.5000], [0.0000, 0.2704, 0.5000], [0.2704, 0.0000, 0.5000], [0.7125, 0.0000, 0.0000], [0.2875, 0.2875, 0.0000], [0.7296, 0.7296, 0.5000]]
}

b:
{
  "formula": "Ho3NiTe5",
  "functional": "PBE",
  "state": "relaxed",
  "magmom_total_mub_per_cell": 0.00,
  "crystal_system": "hexagonal",
  "lattice_angstrom": [[-0.2777, -7.4592, -4.1434], [2.7589, 0.2981, 8.0737], [-3.4832, -0.5426, 1.2103]],
  "species": ["Ni", "Te", "Ho", "Te", "Ho", "Te", "Te", "Te", "Ho"],
  "fractional_positions": [[0.0000, 0.0000, 0.0000], [0.3333, 0.6667, 0.5000], [0.6464, 0.0000, 0.0000], [0.7681, 0.7681, 0.5000], [0.0000, 0.6464, 0.0000], [0.0000, 0.2319, 0.5000], [0.6667, 0.3333, 0.5000], [0.2319, 0.0000, 0.5000], [0.3536, 0.3536, 0.0000]]
}

Least stable structure: b

a:
{
  "formula": "HoNi2Te",
  "functional": "PBE",
  "state": "relaxed",
  "magmom_total_mub_per_cell": 0.00,
  "crystal_system": "orthorhombic",
  "lattice_angstrom": [[4.1685, 0.0000, 0.0000], [0.0000, 4.9733, 0.0000], [0.0000, 0.0000, 7.0551]],
  "species": ["Ni", "Ho", "Te", "Ni", "Ni", "Ho", "Ni", "Te"],
  "fractional_positions": [[0.0000, 0.1631, 0.4429], [0.0000, 0.6626, 0.3190], [0.5000, 0.1619, 0.1959], [0.0000, 0.8369, 0.9429], [0.5000, 0.3697, 0.5422], [0.0000, 0.3374, 0.8190], [0.5000, 0.6303, 0.0422], [0.5000, 0.8381, 0.6959]]
}

b:
{
  "formula": "HoNi2Te",
  "functional": "PBE",
  "state": "relaxed",
  "magmom_total_mub_per_cell": 0.00,
  "crystal_system": "orthorhombic",
  "lattice_angstrom": [[-0.8528, -3.4053, -2.2786], [-1.4803, -3.1182, 5.2140], [-5.2056, 1.6373, -0.4987]],
  "species": ["Ni", "Ho", "Ni", "Te", "Ni", "Ni", "Ho", "Te"],
  "fractional_positions": [[0.0000, 0.8353, 0.6343], [0.5000, 0.5851, 0.8642], [0.5000, 0.1647, 0.1343], [0.5000, 0.1114, 0.6348], [0.5000, 0.7512, 0.3668], [0.0000, 0.2488, 0.8668], [0.0000, 0.4149, 0.3642], [0.0000, 0.8886, 0.1348]]
}

Least stable structure: a

a:
{
  "formula": "Ho5NiTe3",
  "functional": "PBE",
  "state": "relaxed",
  "magmom_total_mub_per_cell": 0.98,
  "crystal_system": "hexagonal",
  "lattice_angstrom": [[-3.8687, 2.9826, 7.0023], [-0.5817, -8.2800, -1.9996], [3.1056, -0.7051, 2.0162]],
  "species": ["Te", "Te", "Ho", "Ni", "Ho", "Ho", "Te", "Ho", "Ho"],
  "fractional_positions": [[0.4190, 0.4190, 0.0000], [0.0000, 0.5810, 0.0000], [0.3333, 0.6667, 0.5000], [0.0000, 0.0000, 0.0000], [0.0000, 0.2274, 0.5000], [0.7726, 0.7726, 0.5000], [0.5810, 0.0000, 0.0000], [0.6667, 0.3333, 0.5000], [0.2274, 0.0000, 0.5000]]
}

b:
{
  "formula": "Ho5NiTe3",
  "functional": "PBE",
  "state": "relaxed",
  "magmom_total_mub_per_cell": 0.00,
  "crystal_system": "hexagonal",
  "lattice_angstrom": [[-7.2448, 3.8263, 0.5243], [2.0376, -4.0086, -6.8690], [-1.6743, -3.3718, 1.4710]],
  "species": ["Te", "Ho", "Ho", "Te", "Te", "Ni", "Ho", "Ho", "Ho"],
  "fractional_positions": [[0.2638, 0.0000, 0.5000], [0.6704, 0.0000, 0.0000], [0.6667, 0.3333, 0.5000], [0.7362, 0.7362, 0.5000], [0.0000, 0.2638, 0.5000], [0.0000, 0.0000, 0.0000], [0.3296, 0.3296, 0.0000], [0.0000, 0.6704, 0.0000], [0.3333, 0.6667, 0.5000]]
}

Least stable structure: b

a:
{
  "formula": "HoTlNiTe3",
  "functional": "PBE",
  "state": "relaxed",
  "magmom_total_mub_per_cell": 0.01,
  "crystal_system": "orthorhombic",
  "lattice_angstrom": [[12.5914, 0.0000, 0.0000], [0.0000, 4.2348, 0.0000], [0.0000, 0.0000, 12.7423]],
  "species": ["Ni", "Ni", "Tl", "Te", "Te", "Te", "Te", "Tl", "Tl", "Ni", "Ho", "Ni", "Te", "Te", "Te", "Ho", "Ho", "Te", "Te", "Ho", "Te", "Tl", "Te", "Te"],
  "fractional_positions": [[0.2680, 0.2500, 0.3196], [0.7320, 0.7500, 0.6804], [0.3056, 0.7500, 0.4973], [0.4025, 0.7500, 0.9349], [0.0338, 0.7500, 0.8594], [0.5975, 0.2500, 0.0651], [0.9662, 0.2500, 0.1406], [0.6944, 0.2500, 0.5027], [0.1944, 0.2500, 0.9973], [0.2320, 0.7500, 0.8196], [0.4640, 0.7500, 0.1904], [0.7680, 0.2500, 0.1804], [0.0975, 0.2500, 0.4349], [0.2820, 0.2500, 0.7208], [0.9025, 0.7500, 0.5651], [0.9640, 0.7500, 0.3096], [0.0360, 0.2500, 0.6904], [0.7180, 0.7500, 0.2792], [0.7820, 0.2500, 0.7792], [0.5360, 0.2500, 0.8096], [0.5338, 0.7500, 0.6406], [0.8056, 0.7500, 0.0027], [0.4662, 0.2500, 0.3594], [0.2180, 0.7500, 0.2208]]
}

b:
{
  "formula": "HoTlNiTe3",
  "functional": "PBE",
  "state": "relaxed",
  "magmom_total_mub_per_cell": 0.00,
  "crystal_system": "orthorhombic",
  "lattice_angstrom": [[-7.8469, 3.4058, 6.7307], [-1.3210, -3.8821, 0.4243], [9.9926, -2.0157, 12.6697]],
  "species": ["Ho", "Te", "Tl", "Ni", "Te", "Te", "Ni", "Te", "Ni", "Te", "Te", "Tl", "Ho", "Te", "Ho", "Tl", "Tl", "Ho", "Te", "Ni", "Te", "Te", "Te", "Te"],
  "fractional_positions": [[0.9929, 0.2500, 0.7481], [0.4118, 0.7500, 0.8782], [0.2382, 0.2500, 0.0005], [0.2438, 0.7500, 0.7686], [0.2439, 0.2500, 0.6724], [0.0882, 0.2500, 0.3782], [0.7562, 0.2500, 0.2314], [0.9277, 0.2500, 0.1241], [0.2562, 0.2500, 0.2686], [0.2561, 0.7500, 0.1724], [0.7561, 0.7500, 0.3276], [0.2618, 0.7500, 0.5005], [0.4929, 0.2500, 0.7519], [0.4277, 0.2500, 0.3759], [0.5071, 0.7500, 0.2481], [0.7382, 0.2500, 0.4995], [0.7618, 0.7500, 0.9995], [0.0071, 0.7500, 0.2519], [0.9118, 0.7500, 0.6218], [0.7438, 0.7500, 0.7314], [0.5723, 0.7500, 0.6241], [0.7439, 0.2500, 0.8276], [0.5882, 0.2500, 0.1218], [0.0723, 0.7500, 0.8759]]
}

c:
{
  "formula": "HoTlNiTe3",
  "functional": "PBE",
  "state": "relaxed",
  "magmom_total_mub_per_cell": 0.00,
  "crystal_system": "monoclinic",
  "lattice_angstrom": [[8.8196, -2.1852, 0.0000], [8.8196, 2.1852, 0.0000], [-2.3220, 0.0000, 9.2973]],
  "species": ["Ni", "Te", "Te", "Ni", "Te", "Tl", "Te", "Tl", "Te", "Te", "Ho", "Ho"],
  "fractional_positions": [[0.5001, 0.5001, 0.6761], [0.6474, 0.6474, 0.7922], [0.6501, 0.6501, 0.3538], [0.4999, 0.4999, 0.3239], [0.0000, 0.0000, 0.5000], [0.1432, 0.1432, 0.0654], [0.3526, 0.3526, 0.2078], [0.8568, 0.8568, 0.9346], [0.5000, 0.5000, 0.0000], [0.3499, 0.3499, 0.6462], [0.8264, 0.8264, 0.4107], [0.1736, 0.1736, 0.5893]]
}

d:
{
  "formula": "HoTlNiTe3",
  "functional": "PBE",
  "state": "relaxed",
  "magmom_total_mub_per_cell": 0.01,
  "crystal_system": "monoclinic",
  "lattice_angstrom": [[9.0201, 0.0000, 0.0000], [0.0000, 4.1491, 0.0000], [-4.2146, 0.0000, 10.1168]],
  "species": ["Ho", "Te", "Ni", "Tl", "Te", "Ho", "Tl", "Te", "Te", "Te", "Te", "Ni"],
  "fractional_positions": [[0.3097, 0.7500, 0.8502], [0.9467, 0.7500, 0.1723], [0.0920, 0.2500, 0.6104], [0.7301, 0.7500, 0.6947], [0.5603, 0.2500, 0.8517], [0.6903, 0.2500, 0.1498], [0.2699, 0.2500, 0.3053], [0.2007, 0.7500, 0.5419], [0.4397, 0.7500, 0.1483], [0.7993, 0.2500, 0.4581], [0.0533, 0.2500, 0.8277], [0.9080, 0.7500, 0.3896]]
}

Least stable structure: c

a:
{
  "formula": "Ho3Tm3NiTe2",
  "functional": "PBE",
  "state": "relaxed",
  "magmom_total_mub_per_cell": 1.05,
  "crystal_system": "hexagonal",
  "lattice_angstrom": [[-4.8150, -6.0574, -3.0441], [5.7729, -1.7566, 5.7211], [-2.5971, 0.6475, 2.8194]],
  "species": ["Tm", "Te", "Tm", "Ni", "Ho", "Ho", "Tm", "Ho", "Te"],
  "fractional_positions": [[0.0000, 0.7624, 0.5000], [0.6667, 0.3333, 0.5000], [0.2376, 0.2376, 0.5000], [0.0000, 0.0000, 0.0000], [0.6003, 0.6003, 0.0000], [0.0000, 0.3997, 0.0000], [0.7624, 0.0000, 0.5000], [0.3997, 0.0000, 0.0000], [0.3333, 0.6667, 0.5000]]
}

b:
{
  "formula": "Ho3Tm3NiTe2",
  "functional": "PBE",
  "state": "relaxed",
  "magmom_total_mub_per_cell": 0.84,
  "crystal_system": "hexagonal",
  "lattice_angstrom": [[8.3276, 0.0000, 0.0000], [-4.1638, 7.2119, 0.0000], [0.0000, 0.0000, 3.8664]],
  "species": ["Ho", "Ni", "Tm", "Te", "Tm", "Tm", "Ho", "Ho", "Te"],
  "fractional_positions": [[0.0000, 0.7617, 0.5000], [0.0000, 0.0000, 0.0000], [0.3992, 0.0000, 0.0000], [0.3333, 0.6667, 0.5000], [0.0000, 0.3992, 0.0000], [0.6007, 0.6008, 0.0000], [0.2383, 0.2383, 0.5000], [0.7617, 0.0000, 0.5000], [0.6667, 0.3333, 0.5000]]
}

Least stable structure: b

a:
{
  "formula": "Ho3Zr3NiTe2",
  "functional": "PBE",
  "state": "relaxed",
  "magmom_total_mub_per_cell": 0.02,
  "crystal_system": "hexagonal",
  "lattice_angstrom": [[-5.7003, -5.4365, -2.0189], [2.6280, 0.4738, 7.6808], [-2.6108, 2.4622, 0.7414]],
  "species": ["Zr", "Zr", "Ho", "Ni", "Te", "Ho", "Zr", "Ho", "Te"],
  "fractional_positions": [[0.0000, 0.4094, 0.0000], [0.4094, 0.0000, 0.0000], [0.7561, 0.0000, 0.5000], [0.0000, 0.0000, 0.0000], [0.3333, 0.6667, 0.5000], [0.0000, 0.7561, 0.5000], [0.5906, 0.5906, 0.0000], [0.2439, 0.2439, 0.5000], [0.6667, 0.3333, 0.5000]]
}

b:
{
  "formula": "Ho3Zr3NiTe2",
  "functional": "PBE",
  "state": "relaxed",
  "magmom_total_mub_per_cell": 0.01,
  "crystal_system": "hexagonal",
  "lattice_angstrom": [[-0.7655, -5.8911, -5.3303], [0.6086, -1.7056, 7.7733], [-3.8757, 0.1911, 0.3454]],
  "species": ["Te", "Ni", "Ho", "Ho", "Zr", "Zr", "Ho", "Zr", "Te"],
  "fractional_positions": [[0.3333, 0.6667, 0.5000], [0.0000, 0.0000, 0.0000], [0.0000, 0.3983, 0.0000], [0.6017, 0.6017, 0.0000], [0.7697, 0.0000, 0.5000], [0.0000, 0.7697, 0.5000], [0.3983, 0.0000, 0.0000], [0.2303, 0.2303, 0.5000], [0.6667, 0.3333, 0.5000]]
}

Least stable structure: a

a:
{
  "formula": "YHoNi4",
  "functional": "PBE",
  "state": "relaxed",
  "magmom_total_mub_per_cell": 0.01,
  "crystal_system": "hexagonal",
  "lattice_angstrom": [[-1.5610, -3.8277, -3.4209], [2.2956, -1.3408, 4.6608], [-7.1846, -0.1850, 3.4855]],
  "species": ["Y", "Ho", "Ni", "Ni", "Y", "Ni", "Ni", "Ni", "Ni", "Ni", "Ho", "Ni"],
  "fractional_positions": [[0.0000, 0.0000, 0.0000], [0.3333, 0.6667, 0.5000], [0.5000, 0.0000, 0.7717], [0.0000, 0.5000, 0.7717], [0.0000, 0.0000, 0.5000], [0.5000, 0.0000, 0.2283], [0.5000, 0.5000, 0.2283], [0.5000, 0.5000, 0.7717], [0.0000, 0.5000, 0.2283], [0.6667, 0.3333, 0.0000], [0.6667, 0.3333, 0.5000], [0.3333, 0.6667, 0.0000]]
}

b:
{
  "formula": "YHoNi4",
  "functional": "PBE",
  "state": "relaxed",
  "magmom_total_mub_per_cell": 0.00,
  "crystal_system": "cubic",
  "lattice_angstrom": [[-4.8521, -1.4104, -0.1148], [-3.6351, 3.3689, 0.9913], [-3.0177, 1.6279, -3.7133]],
  "species": ["Ni", "Ni", "Ho", "Ni", "Ni", "Y"],
  "fractional_positions": [[0.6244, 0.1252, 0.1252], [0.1252, 0.1252, 0.6244], [0.5000, 0.5000, 0.5000], [0.1252, 0.1252, 0.1252], [0.1252, 0.6244, 0.1252], [0.7500, 0.7500, 0.7500]]
}

Least stable structure: a

a:
{
  "formula": "YHoNi4",
  "functional": "PBE",
  "state": "relaxed",
  "magmom_total_mub_per_cell": 0.00,
  "crystal_system": "hexagonal",
  "lattice_angstrom": [[-3.2533, 3.1417, -2.8602], [-0.4141, -5.3221, -0.3726], [-5.2864, -0.0090, 6.0029]],
  "species": ["Ni", "Ni", "Ni", "Ho", "Ni", "Ni", "Ni", "Ni", "Y", "Ni", "Y", "Ho"],
  "fractional_positions": [[0.0000, 0.0000, 0.2719], [0.0000, 0.5000, 0.7281], [0.0000, 0.5000, 0.2719], [0.8333, 0.1667, 0.0000], [0.1667, 0.8333, 0.5000], [0.0000, 0.0000, 0.7281], [0.5000, 0.0000, 0.7281], [0.5000, 0.0000, 0.2719], [0.5000, 0.5000, 0.0000], [0.8333, 0.1667, 0.5000], [0.5000, 0.5000, 0.5000], [0.1667, 0.8333, 0.0000]]
}

b:
{
  "formula": "YHoNi4",
  "functional": "PBE",
  "state": "relaxed",
  "magmom_total_mub_per_cell": 0.09,
  "crystal_system": "orthorhombic",
  "lattice_angstrom": [[-1.0584, -4.8073, -2.0525], [-4.9341, 1.9717, -0.4583], [4.7072, 0.9633, -2.3146]],
  "species": ["Ni", "Ni", "Ho", "Ni", "Ni", "Y"],
  "fractional_positions": [[0.0408, 0.3379, 0.7030], [0.4575, 0.6628, 0.7946], [0.0392, 0.0392, 0.0000], [0.8682, 0.6628, 0.2054], [0.6349, 0.3379, 0.2970], [0.4594, 0.9594, 0.5000]]
}

Least stable structure: a

a:
{
  "formula": "HoOsPb2O6",
  "functional": "PBE",
  "state": "relaxed",
  "magmom_total_mub_per_cell": 2.85,
  "crystal_system": "tetragonal",
  "lattice_angstrom": [[-2.8932, 2.8932, 4.1679], [2.8932, -2.8932, 4.1679], [2.8932, 2.8932, -4.1679]],
  "species": ["O", "Pb", "Os", "Pb", "O", "O", "O", "O", "Ho", "O"],
  "fractional_positions": [[0.7889, 0.6796, 0.4686], [0.2500, 0.7500, 0.5000], [0.5000, 0.5000, 0.0000], [0.7500, 0.2500, 0.5000], [0.7356, 0.7356, 0.0000], [0.2111, 0.3204, 0.5314], [0.3204, 0.7889, 0.1093], [0.6796, 0.2111, 0.8907], [0.0000, 0.0000, 0.0000], [0.2644, 0.2644, 0.0000]]
}

b:
{
  "formula": "HoOsPb2O6",
  "functional": "PBE",
  "state": "relaxed",
  "magmom_total_mub_per_cell": 0.89,
  "crystal_system": "triclinic",
  "lattice_angstrom": [[5.0833, 0.0000, 0.0000], [-1.4335, 4.9162, 0.0000], [-0.0514, -0.0224, 5.8344]],
  "species": ["Pb", "Ho", "O", "O", "O", "O", "O", "O", "Os", "Pb"],
  "fractional_positions": [[0.6891, 0.3087, 0.4973], [0.0000, 0.0000, 0.0000], [0.7212, 0.7156, 0.2632], [0.2754, 0.7325, 0.9966], [0.2788, 0.2844, 0.7368], [0.2821, 0.2889, 0.2620], [0.7246, 0.2675, 0.0034], [0.7179, 0.7111, 0.7380], [0.5000, 0.5000, 0.0000], [0.3109, 0.6913, 0.5027]]
}

Least stable structure: b

a:
{
  "formula": "HoPPdO",
  "functional": "PBE",
  "state": "relaxed",
  "magmom_total_mub_per_cell": 0.01,
  "crystal_system": "tetragonal",
  "lattice_angstrom": [[-3.6395, 1.4028, -1.0293], [-1.6224, -1.8738, 3.1828], [1.2110, 6.3288, 4.3432]],
  "species": ["Ho", "Pd", "Ho", "O", "P", "O", "Pd", "P"],
  "fractional_positions": [[0.7500, 0.7500, 0.1325], [0.7500, 0.2500, 0.5000], [0.2500, 0.2500, 0.8675], [0.7500, 0.2500, 0.0000], [0.2500, 0.2500, 0.3328], [0.2500, 0.7500, 0.0000], [0.2500, 0.7500, 0.5000], [0.7500, 0.7500, 0.6672]]
}

b:
{
  "formula": "HoPPdO",
  "functional": "PBE",
  "state": "relaxed",
  "magmom_total_mub_per_cell": 0.00,
  "crystal_system": "orthorhombic",
  "lattice_angstrom": [[-1.4630, -4.2392, -1.4096], [1.6950, 0.7404, -3.9859], [5.2683, -2.4140, 1.7919]],
  "species": ["Pd", "P", "P", "Ho", "Pd", "Ho", "O", "O"],
  "fractional_positions": [[0.0000, 0.8759, 0.4404], [0.0000, 0.6274, 0.7900], [0.0000, 0.3726, 0.2900], [0.5000, 0.3048, 0.5856], [0.0000, 0.1241, 0.9404], [0.5000, 0.6952, 0.0856], [0.5000, 0.1632, 0.9379], [0.5000, 0.8368, 0.4379]]
}

Least stable structure: b